Record 1
{"formula": "RbAs2Pb2", "functional": "meta-GGA SCAN", "state": "single point on PBEsol structure", "lattice_angstrom": [[-2.928, -2.601, 3.554], [2.067, -4.580, -1.650], [4.557, 4.095, 2.816]], "species": ["Pb", "Pb", "As", "As", "Rb"], "fractional_positions": [[0.353, 0.353, 0.707], [0.647, 0.647, 0.293], [0.250, 0.750, 0.500], [0.750, 0.250, 0.500], [0.000, 0.000, 0.000]], "dft_energy_ev_per_cell": -213.44}

=====

Record 2
{"formula": "RbAs3Pb", "functional": "meta-GGA SCAN", "state": "single point on PBEsol structure", "lattice_angstrom": [[5.407, 0.000, 0.000], [0.000, 5.407, 0.000], [0.000, 0.000, 5.407]], "species": ["Pb", "As", "As", "As", "Rb"], "fractional_positions": [[0.500, 0.500, 0.500], [0.000, 0.500, 0.000], [0.000, 0.000, 0.500], [0.500, 0.000, 0.000], [0.000, 0.000, 0.000]], "dft_energy_ev_per_cell": -149.38}

=====

Record 3
{"formula": "Rb3AsPb", "functional": "meta-GGA SCAN", "state": "single point on PBEsol structure", "lattice_angstrom": [[-0.992, -0.617, 6.410], [4.876, -4.309, 0.340], [4.207, 4.849, 1.118]], "species": ["Pb", "As", "Rb", "Rb", "Rb"], "fractional_positions": [[0.500, 0.500, 0.500], [0.000, 0.000, 0.000], [0.000, 0.500, 0.000], [0.000, 0.000, 0.500], [0.500, 0.000, 0.000]], "dft_energy_ev_per_cell": -157.92}

=====

Record 4
{"formula": "RbAs2Pb2", "functional": "meta-GGA SCAN", "state": "single point on PBEsol structure", "lattice_angstrom": [[5.034, 0.000, 0.000], [0.000, 5.034, 0.000], [-2.517, -2.517, 6.054]], "species": ["Pb", "Pb", "As", "As", "Rb"], "fractional_positions": [[0.250, 0.750, 0.500], [0.750, 0.250, 0.500], [0.389, 0.389, 0.778], [0.611, 0.611, 0.222], [0.000, 0.000, 0.000]], "dft_energy_ev_per_cell": -213.62}

=====

Record 5
{"formula": "RbZr2AsPb", "functional": "meta-GGA SCAN", "state": "single point on PBEsol structure", "lattice_angstrom": [[-0.055, -0.920, 5.416], [-5.109, -1.983, -0.389], [2.092, -5.219, -0.865]], "species": ["Pb", "As", "Rb", "Zr", "Zr"], "fractional_positions": [[0.000, 0.000, 0.000], [0.000, 0.000, 0.500], [0.500, 0.500, 0.500], [0.000, 0.500, 0.000], [0.500, 0.000, 0.000]], "dft_energy_ev_per_cell": -173.53}

=====

Record 6
{"formula": "Re2AsPb", "functional": "meta-GGA SCAN", "state": "single point on PBEsol structure", "lattice_angstrom": [[-3.930, -0.378, -2.202], [-2.416, -3.808, 0.325], [-3.890, -0.019, 2.304]], "species": ["Pb", "Re", "Re", "As"], "fractional_positions": [[0.500, 0.500, 0.500], [0.250, 0.250, 0.250], [0.750, 0.750, 0.750], [0.000, 0.000, 0.000]], "dft_energy_ev_per_cell": -234.03}

=====

Record 7
{"formula": "Re2AsPb", "functional": "meta-GGA SCAN", "state": "single point on PBEsol structure", "lattice_angstrom": [[3.207, 0.000, 0.000], [0.000, 4.519, 0.000], [0.000, 0.000, 4.519]], "species": ["Pb", "Re", "Re", "As"], "fractional_positions": [[0.500, 0.000, 0.000], [0.000, 0.000, 0.500], [0.000, 0.500, 0.000], [0.500, 0.500, 0.500]], "dft_energy_ev_per_cell": -233.96}

=====

Record 8
{"formula": "Re2AsPb", "functional": "meta-GGA SCAN", "state": "single point on PBEsol structure", "lattice_angstrom": [[-1.443, -0.978, -2.395], [0.708, -2.787, 0.712], [-7.044, -0.638, 4.503]], "species": ["Pb", "Re", "Re", "As"], "fractional_positions": [[0.500, 0.500, 0.781], [0.000, 0.000, 0.046], [0.500, 0.500, 0.240], [0.000, 0.000, 0.433]], "dft_energy_ev_per_cell": -237.05}

=====

Record 9
{"formula": "Re2AsPb", "functional": "meta-GGA SCAN", "state": "single point on PBEsol structure", "lattice_angstrom": [[-0.681, 2.961, 0.435], [-0.532, -1.082, -4.296], [-5.967, -1.698, 2.221]], "species": ["Pb", "Re", "Re", "As"], "fractional_positions": [[0.741, 0.482, 0.202], [0.988, 0.975, 0.912], [0.254, 0.508, 0.791], [0.518, 0.035, 0.596]], "dft_energy_ev_per_cell": -236.09}

=====

Record 10
{"formula": "As2RhPb", "functional": "meta-GGA SCAN", "state": "single point on PBEsol structure", "lattice_angstrom": [[-1.273, -3.588, 0.419], [3.682, -1.484, -1.528], [1.745, -0.115, 4.316]], "species": ["Pb", "As", "As", "Rh"], "fractional_positions": [[0.500, 0.000, 0.500], [0.000, 0.000, 0.000], [0.500, 0.500, 0.000], [0.000, 0.500, 0.500]], "dft_energy_ev_per_cell": -148.56}

=====

Record 11
{"formula": "AsRh2Pb", "functional": "meta-GGA SCAN", "state": "single point on PBEsol structure", "lattice_angstrom": [[3.134, 0.000, 0.000], [0.000, 3.752, 0.000], [0.000, 0.000, 5.866]], "species": ["As", "Pb", "Rh", "Rh"], "fractional_positions": [[0.000, 0.000, 0.410], [0.500, 0.500, 0.789], [0.000, 0.000, 0.005], [0.500, 0.500, 0.296]], "dft_energy_ev_per_cell": -164.17}

=====

Record 12
{"formula": "AsRh2Pb", "functional": "meta-GGA SCAN", "state": "single point on PBEsol structure", "lattice_angstrom": [[-0.658, 3.008, 0.955], [-1.808, -1.647, 3.943], [4.244, 0.293, 2.069]], "species": ["As", "Pb", "Rh", "Rh"], "fractional_positions": [[0.624, 0.000, 0.435], [0.124, 0.500, 0.754], [0.127, 0.000, 0.066], [0.625, 0.500, 0.245]], "dft_energy_ev_per_cell": -164.07}

=====

Record 13
{"formula": "As2RhPb", "functional": "meta-GGA SCAN", "state": "single point on PBEsol structure", "lattice_angstrom": [[3.272, 0.000, 0.000], [0.000, 3.272, 0.000], [0.000, 0.000, 7.248]], "species": ["Pb", "As", "As", "Rh"], "fractional_positions": [[0.000, 0.000, 0.534], [0.000, 0.000, 0.964], [0.500, 0.500, 0.185], [0.500, 0.500, 0.817]], "dft_energy_ev_per_cell": -149.89}

=====

Record 14
{"formula": "TaAsRh2Pb", "functional": "meta-GGA SCAN", "state": "single point on PBEsol structure", "lattice_angstrom": [[4.504, 0.000, 0.000], [0.000, 4.504, 0.000], [0.000, 0.000, 4.821]], "species": ["Pb", "As", "Rh", "Rh", "Ta"], "fractional_positions": [[0.500, 0.500, 0.500], [0.000, 0.000, 0.000], [0.000, 0.500, 0.000], [0.500, 0.000, 0.000], [0.000, 0.000, 0.500]], "dft_energy_ev_per_cell": -227.94}

=====

Record 15
{"formula": "TeAs2RhPb", "functional": "meta-GGA SCAN", "state": "single point on PBEsol structure", "lattice_angstrom": [[-3.057, 0.110, 4.127], [3.581, -2.485, 2.719], [2.289, 5.007, 1.561]], "species": ["Pb", "As", "As", "Te", "Rh"], "fractional_positions": [[0.000, 0.000, 0.500], [0.000, 0.500, 0.000], [0.500, 0.000, 0.000], [0.000, 0.000, 0.000], [0.500, 0.500, 0.500]], "formation_energy_uncorrected_mev_per_atom": 1452.1}

=====

Record 16
{"formula": "AsRuPb", "functional": "meta-GGA SCAN", "state": "single point on PBEsol structure", "lattice_angstrom": [[-2.043, 2.811, 2.935], [1.115, -0.112, 4.408], [2.327, 3.444, 1.846]], "species": ["Pb", "Ru", "As"], "fractional_positions": [[0.250, 0.250, 0.250], [0.000, 0.000, 0.000], [0.500, 0.500, 0.500]], "dft_energy_ev_per_cell": -127.56}

=====

Record 17
{"formula": "SrAsRu2Pb", "functional": "meta-GGA SCAN", "state": "single point on PBEsol structure", "lattice_angstrom": [[4.631, 0.000, 0.000], [0.000, 4.631, 0.000], [0.000, 0.000, 5.406]], "species": ["Pb", "Ru", "Ru", "As", "Sr"], "fractional_positions": [[0.000, 0.000, 0.500], [0.000, 0.500, 0.000], [0.500, 0.000, 0.000], [0.000, 0.000, 0.000], [0.500, 0.500, 0.500]], "dft_energy_ev_per_cell": -185.89}

=====

Record 18
{"formula": "As4Pb9S15", "functional": "meta-GGA SCAN", "state": "single point on PBEsol structure", "lattice_angstrom": [[7.546, 0.000, 0.000], [-2.515, 10.229, 0.000], [-2.515, -5.115, 8.859]], "species": ["As", "As", "As", "As", "Pb", "Pb", "Pb", "Pb", "Pb", "Pb", "Pb", "Pb", "Pb", "S", "S", "S", "S", "S", "S", "S", "S", "S", "S", "S", "S", "S", "S", "S"], "fractional_positions": [[0.939, 0.000, 0.000], [0.171, 0.570, 0.570], [0.601, 0.000, 0.430], [0.601, 0.430, 0.000], [0.667, 0.257, 0.257], [0.410, 0.000, 0.743], [0.410, 0.743, 0.000], [0.231, 0.470, 0.205], [0.761, 0.735, 0.530], [0.026, 0.795, 0.265], [0.026, 0.265, 0.795], [0.761, 0.530, 0.735], [0.231, 0.205, 0.470], [0.509, 0.441, 0.441], [0.068, 0.000, 0.559], [0.068, 0.559, 0.000], [0.664, 0.804, 0.804], [0.860, 0.000, 0.196], [0.860, 0.196, 0.000], [0.117, 0.751, 0.751], [0.366, 0.000, 0.249], [0.366, 0.249, 0.000], [0.963, 0.551, 0.358], [0.412, 0.807, 0.449], [0.605, 0.642, 0.193], [0.605, 0.193, 0.642], [0.963, 0.358, 0.551], [0.412, 0.449, 0.807]], "formation_energy_uncorrected_mev_per_atom": -426.3}

=====

Record 19
{"formula": "As2PbS4", "functional": "meta-GGA SCAN", "state": "single point on PBEsol structure", "lattice_angstrom": [[-2.120, -2.896, 0.937], [7.142, -4.068, 3.586], [-3.533, 7.687, 15.758]], "species": ["As", "As", "As", "As", "As", "As", "As", "As", "Pb", "Pb", "Pb", "Pb", "S", "S", "S", "S", "S", "S", "S", "S", "S", "S", "S", "S", "S", "S", "S", "S"], "fractional_positions": [[0.750, 0.664, 0.512], [0.750, 0.164, 0.988], [0.250, 0.336, 0.488], [0.250, 0.836, 0.012], [0.250, 0.994, 0.611], [0.250, 0.494, 0.889], [0.750, 0.006, 0.389], [0.750, 0.506, 0.111], [0.750, 0.344, 0.691], [0.750, 0.844, 0.809], [0.250, 0.656, 0.309], [0.250, 0.156, 0.191], [0.750, 0.183, 0.545], [0.750, 0.683, 0.955], [0.250, 0.817, 0.455], [0.250, 0.317, 0.045], [0.250, 0.517, 0.584], [0.250, 0.017, 0.916], [0.750, 0.483, 0.416], [0.750, 0.983, 0.084], [0.750, 0.830, 0.644], [0.750, 0.330, 0.856], [0.250, 0.170, 0.356], [0.250, 0.670, 0.144], [0.750, 0.386, 0.224], [0.750, 0.886, 0.276], [0.250, 0.614, 0.776], [0.250, 0.114, 0.724]], "formation_energy_uncorrected_mev_per_atom": -259.7}

=====

Record 20
{"formula": "TlSbAs2PbS6", "functional": "meta-GGA SCAN", "state": "single point on PBEsol structure", "lattice_angstrom": [[5.825, 0.004, 0.000], [-2.531, 7.567, 0.000], [0.000, 0.000, 23.944]], "species": ["Tl", "Tl", "Tl", "Tl", "Sb", "Sb", "Sb", "Sb", "As", "As", "As", "As", "As", "As", "As", "As", "Pb", "Pb", "Pb", "Pb", "S", "S", "S", "S", "S", "S", "S", "S", "S", "S", "S", "S", "S", "S", "S", "S", "S", "S", "S", "S", "S", "S", "S", "S"], "fractional_positions": [[0.138, 0.912, 0.937], [0.862, 0.088, 0.063], [0.362, 0.588, 0.437], [0.638, 0.412, 0.563], [0.028, 0.962, 0.572], [0.972, 0.038, 0.428], [0.472, 0.538, 0.072], [0.528, 0.462, 0.928], [0.471, 0.820, 0.657], [0.529, 0.180, 0.343], [0.029, 0.680, 0.157], [0.971, 0.320, 0.843], [0.550, 0.904, 0.834], [0.450, 0.096, 0.166], [0.950, 0.596, 0.334], [0.050, 0.404, 0.666], [0.097, 0.942, 0.746], [0.903, 0.058, 0.254], [0.403, 0.558, 0.246], [0.597, 0.442, 0.754], [0.877, 0.764, 0.488], [0.123, 0.236, 0.512], [0.623, 0.736, 0.988], [0.377, 0.264, 0.012], [0.784, 0.713, 0.664], [0.216, 0.287, 0.336], [0.716, 0.787, 0.164], [0.284, 0.213, 0.836], [0.783, 0.726, 0.837], [0.217, 0.274, 0.163], [0.717, 0.774, 0.337], [0.283, 0.226, 0.663], [0.198, 0.567, 0.744], [0.802, 0.433, 0.256], [0.302, 0.933, 0.244], [0.698, 0.067, 0.756], [0.359, 0.976, 0.412], [0.641, 0.024, 0.588], [0.141, 0.524, 0.912], [0.859, 0.476, 0.088], [0.244, 0.604, 0.596], [0.756, 0.396, 0.404], [0.256, 0.896, 0.096], [0.744, 0.104, 0.904]], "formation_energy_uncorrected_mev_per_atom": -321.9}